# Pm5BTe4

An optimized crystal structure of Pm5BTe4 (GGA-PBE, Alexandria).

Values from the calculation:
The calculation puts the formation energy (no corrections) at -1.170 eV/atom. The symmetry is No. 79.

Cell and atoms, written as CIF:
```
data_Pm5BTe4
_chemical_formula_sum 'Pm5 B1 Te4'
_cell_length_a 6.219
_cell_length_b 7.596
_cell_length_c 7.596
_cell_angle_alpha 80.35
_cell_angle_beta 65.83
_cell_angle_gamma 65.83
_space_group_name_H-M_alt 'P 1'
_space_group_IT_number 1
_space_group_name_Hall 'P 1'
loop_
_atom_site_label
_atom_site_type_symbol
_atom_site_fract_x
_atom_site_fract_y
_atom_site_fract_z
Pm1 Pm 0.910 0.350 0.835
Pm2 Pm 0.260 0.835 0.650
Pm3 Pm 0.745 0.165 0.350
Pm4 Pm 0.094 0.650 0.165
Pm5 Pm 0.469 0.000 0.000
B1 B 0.029 0.000 0.000
Te1 Te 0.413 0.396 0.780
Te2 Te 0.809 0.780 0.604
Te3 Te 0.193 0.220 0.396
Te4 Te 0.589 0.604 0.220
```

---

# PmThB12

An optimized crystal structure of PmThB12 (GGA-PBE, Alexandria).

Values from the calculation:
As for the total energy: -98.9 eV for the cell shown. The symmetry is No. 123.

Cell and atoms, written as CIF:
```
data_PmThB12
_chemical_formula_sum 'Pm1 Th1 B12'
_cell_length_a 4.117
_cell_length_b 4.117
_cell_length_c 8.242
_cell_angle_alpha 90.00
_cell_angle_beta 90.00
_cell_angle_gamma 90.00
_space_group_name_H-M_alt 'P 1'
_space_group_IT_number 1
_space_group_name_Hall 'P 1'
loop_
_atom_site_label
_atom_site_type_symbol
_atom_site_fract_x
_atom_site_fract_y
_atom_site_fract_z
Pm1 Pm 0.000 0.000 0.000
Th1 Th 0.000 0.000 0.500
B1 B 0.198 0.500 0.250
B2 B 0.198 0.500 0.750
B3 B 0.500 0.500 0.401
B4 B 0.500 0.500 0.901
B5 B 0.500 0.198 0.250
B6 B 0.500 0.198 0.750
B7 B 0.500 0.500 0.099
B8 B 0.500 0.500 0.599
B9 B 0.500 0.802 0.250
B10 B 0.500 0.802 0.750
B11 B 0.802 0.500 0.250
B12 B 0.802 0.500 0.750
```